Record 1
The following is a DFT calculation (PBE) of a geometry-optimized Cd2HgO3 structure.

Unit cell a=3.677 b=5.213 c=6.375 alpha=114.13 beta=106.76 gamma=90.00
Positions (direct):
Hg 0.500 0.253 0.000
Cd 0.833 0.580 0.665
Cd 0.167 0.914 0.335
O 0.329 0.334 0.657
O 0.000 0.985 0.000
O 0.671 0.677 0.343

Raw formation energy   -0.729 eV/atom
Total moment   0.0 μB per cell
DOS at the Fermi energy   0.18 states/eV/atom

---

Record 2
The following is a DFT calculation (PBE) of a geometry-optimized CdHgO structure.

Unit cell a=3.705 b=3.705 c=5.843 alpha=90.00 beta=90.00 gamma=120.00
Positions (direct):
Hg 0.000 0.000 0.000
Cd 0.667 0.333 0.500
O 0.333 0.667 0.501

Raw formation energy   -0.505 eV/atom
Total moment   0.0 μB per cell
DOS at the Fermi energy   0.04 states/eV/atom

---

Record 3
The following is a DFT calculation (PBE) of a geometry-optimized Cd2HgO structure.

Unit cell a=6.782 b=6.782 c=6.038 alpha=55.83 beta=55.83 gamma=90.00
Positions (direct):
Cd 0.545 0.125 0.250
Cd 0.875 0.795 0.750
Cd 0.375 0.455 0.750
Cd 0.205 0.625 0.250
O 0.250 0.750 0.500
O 0.500 0.500 0.000
Hg 0.000 0.000 0.000
Hg 0.750 0.250 0.500

Raw formation energy   -0.386 eV/atom
Total moment   0.0 μB per cell
DOS at the Fermi energy   0.07 states/eV/atom

---

Record 4
The following is a DFT calculation (PBE) of a geometry-optimized Cd3HgO structure.

Unit cell a=5.380 b=5.380 c=5.380 alpha=90.00 beta=90.00 gamma=90.00
Positions (direct):
O 0.500 0.500 0.500
Cd 0.500 0.000 0.000
Cd 0.000 0.000 0.500
Cd 0.000 0.500 0.000
Hg 0.000 0.000 0.000

Raw formation energy   0.633 eV/atom
Total moment   0.0 μB per cell
DOS at the Fermi energy   1.66 states/eV/atom

---

Record 5
The following is a DFT calculation (PBE) of a geometry-optimized CdHg2O3 structure.

Unit cell a=5.912 b=6.514 c=6.514 alpha=119.89 beta=90.00 gamma=90.00
Positions (direct):
O 0.933 0.156 0.156
O 0.942 0.508 0.832
O 0.442 0.168 0.492
O 0.442 0.492 0.168
O 0.433 0.844 0.844
O 0.942 0.832 0.508
Hg 0.043 0.166 0.499
Hg 0.543 0.834 0.501
Hg 0.043 0.499 0.166
Hg 0.543 0.501 0.834
Cd 0.054 0.834 0.834
Cd 0.554 0.166 0.166

Raw formation energy   -0.464 eV/atom
Total moment   0.0 μB per cell
DOS at the Fermi energy   0.12 states/eV/atom

---

Record 6
The following is a DFT calculation (PBE) of a geometry-optimized CdHg4O5 structure.

Unit cell a=4.813 b=6.051 c=6.051 alpha=80.90 beta=66.56 gamma=66.56
Positions (direct):
Hg 0.203 0.200 0.396
Hg 0.799 0.800 0.604
Hg 0.403 0.396 0.800
Hg 0.599 0.604 0.200
O 0.082 0.628 0.211
O 0.293 0.789 0.628
O 0.501 0.000 0.000
O 0.709 0.211 0.372
O 0.920 0.372 0.789
Cd 0.001 0.000 0.000

Raw formation energy   -0.317 eV/atom
Total moment   0.0 μB per cell
DOS at the Fermi energy   0.36 states/eV/atom

---

Record 7
The following is a DFT calculation (PBE) of a geometry-optimized CdHgO3 structure.

Unit cell a=4.112 b=4.112 c=4.112 alpha=90.00 beta=90.00 gamma=90.00
Last column: magnetic moment on the atom in μB.
Positions (direct):
Cd 0.000 0.000 0.000  0.00
O 0.000 0.000 0.500  -0.04
O 0.000 0.500 0.000  -0.10
O 0.500 0.000 0.000  -0.10
Hg 0.500 0.500 0.500  0.01

Raw formation energy   0.264 eV/atom
Total moment   0.3 μB per cell
DOS at the Fermi energy   0.67 states/eV/atom

---

Record 8
The following is a DFT calculation (PBE) of a geometry-optimized CdHgO3 structure.

Unit cell a=4.122 b=4.122 c=4.122 alpha=90.00 beta=90.00 gamma=90.00
Positions (direct):
O 0.000 0.500 0.000
O 0.500 0.000 0.000
O 0.000 0.000 0.500
Cd 0.500 0.500 0.500
Hg 0.000 0.000 0.000

Raw formation energy   0.202 eV/atom
Total moment   0.0 μB per cell
DOS at the Fermi energy   0.19 states/eV/atom

---

Record 9
The following is a DFT calculation (PBE) of a geometry-optimized CdHgO structure.

Unit cell a=3.820 b=3.803 c=10.844 alpha=87.45 beta=92.56 gamma=59.29
Positions (direct):
Cd 0.304 0.365 0.884
Cd 0.696 0.635 0.116
Hg 0.148 0.191 0.382
Hg 0.852 0.809 0.618
O 0.365 0.306 0.111
O 0.635 0.694 0.889

Raw formation energy   -0.588 eV/atom
Total moment   0.0 μB per cell
DOS at the Fermi energy   0.22 states/eV/atom

---

Record 10
The following is a DFT calculation (PBE) of a geometry-optimized Cd3Hg12O5 structure.

Unit cell a=13.225 b=13.225 c=13.225 alpha=109.47 beta=109.47 gamma=109.47
Positions (direct):
Cd 0.125 0.250 0.875
Cd 0.750 0.875 0.625
Cd 0.125 0.875 0.750
Cd 0.250 0.625 0.875
Cd 0.250 0.125 0.375
Cd 0.375 0.625 0.250
Cd 0.625 0.375 0.750
Cd 0.875 0.750 0.125
Cd 0.625 0.250 0.375
Cd 0.875 0.125 0.250
Cd 0.375 0.750 0.625
Cd 0.750 0.375 0.125
Hg 0.922 0.816 0.534
Hg 0.606 0.717 0.684
Hg 0.717 0.112 0.034
Hg 0.888 0.283 0.466
Hg 0.422 0.034 0.316
Hg 0.217 0.534 0.612
Hg 0.578 0.612 0.394
Hg 0.922 0.106 0.888
Hg 0.184 0.106 0.717
Hg 0.394 0.112 0.578
Hg 0.422 0.388 0.606
Hg 0.388 0.966 0.783
Hg 0.283 0.888 0.966
Hg 0.966 0.388 0.283
Hg 0.606 0.888 0.422
Hg 0.783 0.466 0.388
Hg 0.316 0.534 0.422
Hg 0.888 0.606 0.922
Hg 0.684 0.217 0.606
Hg 0.106 0.184 0.217
Hg 0.894 0.078 0.612
Hg 0.534 0.217 0.112
Hg 0.966 0.578 0.184
Hg 0.078 0.184 0.466
Hg 0.717 0.606 0.184
Hg 0.078 0.894 0.112
Hg 0.612 0.578 0.894
Hg 0.217 0.684 0.106
Hg 0.816 0.894 0.283
Hg 0.034 0.422 0.816
Hg 0.578 0.966 0.684
Hg 0.283 0.394 0.816
Hg 0.466 0.684 0.078
Hg 0.112 0.717 0.534
Hg 0.816 0.922 0.034
Hg 0.184 0.078 0.966
Hg 0.316 0.783 0.394
Hg 0.034 0.612 0.717
Hg 0.394 0.283 0.316
Hg 0.684 0.466 0.578
Hg 0.894 0.816 0.783
Hg 0.466 0.783 0.888
Hg 0.612 0.034 0.217
Hg 0.112 0.394 0.078
Hg 0.783 0.316 0.894
Hg 0.106 0.922 0.388
Hg 0.388 0.422 0.106
Hg 0.534 0.316 0.922
O 0.000 0.000 0.000
O 0.000 0.000 0.500
O 0.875 0.250 0.625
O 0.000 0.500 0.500
O 0.125 0.375 0.250
O 0.750 0.625 0.375
O 0.250 0.375 0.625
O 0.500 0.000 0.500
O 0.500 0.000 0.000
O 0.875 0.625 0.750
O 0.500 0.500 0.500
O 0.375 0.125 0.750
O 0.625 0.750 0.875
O 0.000 0.500 0.000
O 0.750 0.125 0.875
O 0.375 0.250 0.125
O 0.125 0.750 0.375
O 0.250 0.875 0.125
O 0.500 0.500 0.000
O 0.625 0.875 0.250

Raw formation energy   -0.037 eV/atom
Total moment   0.0 μB per cell
DOS at the Fermi energy   0.20 states/eV/atom

---

Record 11
The following is a DFT calculation (PBE) of a geometry-optimized Cd2HgO2 structure.

Unit cell a=4.440 b=4.440 c=7.506 alpha=72.80 beta=72.80 gamma=90.00
Positions (direct):
Cd 0.222 0.222 0.555
Cd 0.778 0.778 0.445
Hg 0.000 0.000 0.000
O 0.750 0.250 0.500
O 0.250 0.750 0.500

Raw formation energy   -0.593 eV/atom
Total moment   0.0 μB per cell
DOS at the Fermi energy   0.09 states/eV/atom

---

Record 12
The following is a DFT calculation (PBE) of a geometry-optimized Cd3Hg5O12 structure.

Unit cell a=11.710 b=11.710 c=11.710 alpha=109.47 beta=109.47 gamma=109.47
Positions (direct):
O 0.944 0.104 0.643
O 0.461 0.660 0.104
O 0.396 0.357 0.556
O 0.104 0.160 0.461
O 0.840 0.944 0.300
O 0.357 0.961 0.800
O 0.604 0.961 0.660
O 0.857 0.300 0.461
O 0.800 0.340 0.944
O 0.556 0.700 0.660
O 0.700 0.143 0.039
O 0.539 0.200 0.143
O 0.056 0.160 0.200
O 0.896 0.840 0.539
O 0.039 0.396 0.840
O 0.660 0.461 0.604
O 0.143 0.444 0.104
O 0.700 0.556 0.160
O 0.461 0.800 0.857
O 0.300 0.444 0.840
O 0.556 0.857 0.396
O 0.643 0.604 0.944
O 0.357 0.396 0.056
O 0.444 0.300 0.340
O 0.961 0.357 0.300
O 0.961 0.604 0.160
O 0.340 0.800 0.444
O 0.143 0.700 0.539
O 0.944 0.840 0.800
O 0.056 0.896 0.357
O 0.896 0.056 0.857
O 0.039 0.643 0.700
O 0.200 0.539 0.643
O 0.340 0.539 0.396
O 0.539 0.340 0.896
O 0.444 0.143 0.604
O 0.800 0.461 0.357
O 0.396 0.039 0.340
O 0.160 0.104 0.961
O 0.104 0.944 0.143
O 0.857 0.556 0.896
O 0.160 0.056 0.700
O 0.300 0.857 0.961
O 0.643 0.039 0.200
O 0.604 0.643 0.444
O 0.660 0.200 0.556
O 0.840 0.896 0.039
O 0.200 0.660 0.056
Hg 0.625 0.875 0.250
Hg 0.000 0.500 0.000
Hg 0.875 0.625 0.750
Hg 0.250 0.875 0.125
Hg 0.375 0.250 0.125
Hg 0.875 0.250 0.625
Hg 0.625 0.750 0.875
Hg 0.375 0.125 0.750
Hg 0.500 0.500 0.000
Hg 0.500 0.000 0.500
Hg 0.125 0.375 0.250
Hg 0.750 0.625 0.375
Hg 0.000 0.000 0.000
Hg 0.500 0.000 0.000
Hg 0.000 0.000 0.500
Hg 0.125 0.750 0.375
Hg 0.250 0.375 0.625
Hg 0.000 0.500 0.500
Hg 0.750 0.125 0.875
Hg 0.500 0.500 0.500
Cd 0.250 0.125 0.375
Cd 0.625 0.250 0.375
Cd 0.125 0.250 0.875
Cd 0.875 0.125 0.250
Cd 0.250 0.625 0.875
Cd 0.125 0.875 0.750
Cd 0.750 0.875 0.625
Cd 0.750 0.375 0.125
Cd 0.625 0.375 0.750
Cd 0.875 0.750 0.125
Cd 0.375 0.625 0.250
Cd 0.375 0.750 0.625

Raw formation energy   -0.057 eV/atom
Total moment   0.0 μB per cell
DOS at the Fermi energy   0.83 states/eV/atom

---

Record 13
The following is a DFT calculation (PBE) of a geometry-optimized CdHg6O8 structure.

Unit cell a=6.214 b=6.214 c=6.214 alpha=94.61 beta=94.61 gamma=94.61
Positions (direct):
Cd 0.000 0.000 0.000
O 0.135 0.687 0.829
O 0.865 0.313 0.171
O 0.313 0.171 0.865
O 0.687 0.829 0.135
O 0.362 0.362 0.362
O 0.638 0.638 0.638
O 0.171 0.865 0.313
O 0.829 0.135 0.687
Hg 0.465 0.903 0.741
Hg 0.259 0.535 0.097
Hg 0.903 0.741 0.465
Hg 0.741 0.465 0.903
Hg 0.097 0.259 0.535
Hg 0.535 0.097 0.259

Raw formation energy   -0.188 eV/atom
Total moment   0.0 μB per cell
DOS at the Fermi energy   0.74 states/eV/atom

---

Record 14
The following is a DFT calculation (PBE) of a geometry-optimized Cd3HgO structure.

Unit cell a=4.702 b=4.702 c=4.702 alpha=90.00 beta=90.00 gamma=90.00
Positions (direct):
Cd 0.000 0.500 0.000
Cd 0.500 0.000 0.000
Cd 0.000 0.000 0.500
Hg 0.500 0.500 0.500
O 0.000 0.000 0.000

Raw formation energy   -0.151 eV/atom
Total moment   0.0 μB per cell
DOS at the Fermi energy   0.37 states/eV/atom

---

Record 15
The following is a DFT calculation (PBE) of a geometry-optimized CdHgO structure.

Unit cell a=3.515 b=5.948 c=6.699 alpha=117.78 beta=105.21 gamma=90.00
Positions (direct):
O 0.355 0.505 0.710
O 0.645 0.495 0.290
Hg 0.389 0.161 0.777
Hg 0.611 0.839 0.223
Cd 0.855 0.735 0.710
Cd 0.145 0.265 0.290

Raw formation energy   -0.459 eV/atom
Total moment   0.0 μB per cell
DOS at the Fermi energy   0.13 states/eV/atom

---

Record 16
The following is a DFT calculation (PBE) of a geometry-optimized Cd2HgO3 structure.

Unit cell a=3.493 b=9.272 c=6.050 alpha=96.39 beta=89.95 gamma=79.41
Positions (direct):
Hg 0.000 0.000 0.500
Hg 0.500 0.000 0.000
O 0.385 0.223 0.036
O 0.250 0.500 0.750
O 0.615 0.777 0.964
O 0.750 0.500 0.250
O 0.885 0.223 0.536
O 0.115 0.777 0.464
Cd 0.323 0.352 0.391
Cd 0.823 0.352 0.891
Cd 0.177 0.648 0.109
Cd 0.677 0.648 0.609

Raw formation energy   -0.789 eV/atom
Total moment   0.0 μB per cell
DOS at the Fermi energy   0.39 states/eV/atom

---

Record 17
The following is a DFT calculation (PBE) of a geometry-optimized Cd2HgO structure.

Unit cell a=4.748 b=4.748 c=4.748 alpha=60.00 beta=60.00 gamma=60.00
Positions (direct):
Hg 0.500 0.500 0.500
O 0.000 0.000 0.000
Cd 0.750 0.750 0.750
Cd 0.250 0.250 0.250

Raw formation energy   0.084 eV/atom
Total moment   0.0 μB per cell
DOS at the Fermi energy   1.08 states/eV/atom

---

Record 18
The following is a DFT calculation (PBE) of a geometry-optimized Cd4Hg2O structure.

Unit cell a=4.567 b=4.567 c=8.394 alpha=105.78 beta=105.78 gamma=90.00
Positions (direct):
Hg 0.355 0.355 0.710
Hg 0.645 0.645 0.290
O 0.000 0.000 0.000
Cd 0.500 0.000 0.000
Cd 0.831 0.831 0.662
Cd 0.169 0.169 0.338
Cd 0.000 0.500 0.000

Raw formation energy   -0.102 eV/atom
Total moment   0.0 μB per cell
DOS at the Fermi energy   0.40 states/eV/atom